CoAs2C | PBE | relaxed

The magnetization is 0.62 μB per formula unit. The calculation puts the energy relative to the elements at 0.516 eV per atom. Its mass density is 6.1 g/cm3.

The space group is I-42d (No. 122) and the conventional cell measures 5.137, 5.137 and 9.099 Å, with angles of 90.00, 90.00 and 90.00 degrees. The asymmetric unit holds Co at (0.000, 0.000, 0.000), As at (0.214, 0.250, 0.625) and C at (0.000, 0.000, 0.500).